a:
# AlP2PtCl, optimized geometry, DFT GGA-PBEsol
# **Density of states at the Fermi level**: 0.4816 states/eV per atom
# **Crystal system**: tetragonal
data_AlP2PtCl
_cell_length_a 4.6277
_cell_length_b 4.6277
_cell_length_c 4.2846
_cell_angle_alpha 90.00
_cell_angle_beta 90.00
_cell_angle_gamma 90.00
_space_group_name_H-M_alt 'P 4/m m m'
_space_group_IT_number 123
_space_group_name_Hall '-P 4 2'
loop_
_atom_site_label
_atom_site_type_symbol
_atom_site_fract_x
_atom_site_fract_y
_atom_site_fract_z
Al1 Al 0.0000 0.0000 0.0000
P1 P 0.0000 0.5000 0.0000
Pt1 Pt 0.5000 0.5000 0.5000
Cl1 Cl 0.0000 0.0000 0.5000

b:
# AlP2PtCl, optimized geometry, DFT GGA-PBEsol
# **Density of states at the Fermi level**: 0.7729 states/eV per atom
# **Crystal system**: tetragonal
data_AlP2PtCl
_cell_length_a 4.5968
_cell_length_b 4.5968
_cell_length_c 4.9834
_cell_angle_alpha 90.00
_cell_angle_beta 90.00
_cell_angle_gamma 90.00
_space_group_name_H-M_alt 'P 4/m m m'
_space_group_IT_number 123
_space_group_name_Hall '-P 4 2'
loop_
_atom_site_label
_atom_site_type_symbol
_atom_site_fract_x
_atom_site_fract_y
_atom_site_fract_z
Al1 Al 0.0000 0.0000 0.0000
P1 P 0.0000 0.5000 0.5000
Pt1 Pt 0.5000 0.5000 0.5000
Cl1 Cl 0.5000 0.5000 0.0000

Computed relative energies in units of meV/atom: a 149; b 0

a:
# Al2PbCl, optimized geometry, DFT GGA-PBEsol
# **Density of states at the Fermi level**: 0.4316 states/eV per atom
# **Crystal system**: orthorhombic
data_Al2PbCl
_cell_length_a 3.2465
_cell_length_b 4.7506
_cell_length_c 5.8866
_cell_angle_alpha 90.00
_cell_angle_beta 90.00
_cell_angle_gamma 90.00
_space_group_name_H-M_alt 'P m m m'
_space_group_IT_number 47
_space_group_name_Hall '-P 2 2'
loop_
_atom_site_label
_atom_site_type_symbol
_atom_site_fract_x
_atom_site_fract_y
_atom_site_fract_z
Al1 Al 0.0000 0.0000 0.2342
Pb1 Pb 0.5000 0.5000 0.5000
Cl1 Cl 0.5000 0.5000 0.0000

b:
# Al2PbCl, optimized geometry, DFT GGA-PBEsol
# **Density of states at the Fermi level**: 0.3691 states/eV per atom
# **Crystal system**: tetragonal
data_Al2PbCl
_cell_length_a 3.1243
_cell_length_b 3.1243
_cell_length_c 8.9165
_cell_angle_alpha 90.00
_cell_angle_beta 90.00
_cell_angle_gamma 90.00
_space_group_name_H-M_alt 'P 4 m m'
_space_group_IT_number 99
_space_group_name_Hall 'P 4 -2'
loop_
_atom_site_label
_atom_site_type_symbol
_atom_site_fract_x
_atom_site_fract_y
_atom_site_fract_z
Al1 Al 0.0000 0.0000 0.0000
Al2 Al 0.5000 0.5000 0.2045
Pb1 Pb 0.5000 0.5000 0.7415
Cl1 Cl 0.0000 0.0000 0.3870

Computed relative energies in units of meV/atom: a 223; b 0

a:
# Al2PbCl, optimized geometry, DFT GGA-PBEsol
# **Density of states at the Fermi level**: 0.3318 states/eV per atom
# **Crystal system**: orthorhombic
data_Al2PbCl
_cell_length_a 3.1748
_cell_length_b 5.0357
_cell_length_c 5.4165
_cell_angle_alpha 90.00
_cell_angle_beta 90.00
_cell_angle_gamma 90.00
_space_group_name_H-M_alt 'P m m m'
_space_group_IT_number 47
_space_group_name_Hall '-P 2 2'
loop_
_atom_site_label
_atom_site_type_symbol
_atom_site_fract_x
_atom_site_fract_y
_atom_site_fract_z
Al1 Al 0.0000 0.0000 0.0000
Al2 Al 0.5000 0.5000 0.0000
Pb1 Pb 0.0000 0.5000 0.5000
Cl1 Cl 0.5000 0.0000 0.5000

b:
# Al2PbCl, optimized geometry, DFT GGA-PBEsol
# **Density of states at the Fermi level**: 0.6631 states/eV per atom
# **Crystal system**: cubic
data_Al2PbCl
_cell_length_a 7.0359
_cell_length_b 7.0359
_cell_length_c 7.0359
_cell_angle_alpha 90.00
_cell_angle_beta 90.00
_cell_angle_gamma 90.00
_space_group_name_H-M_alt 'F -4 3 m'
_space_group_IT_number 216
_space_group_name_Hall 'F -4 2 3'
loop_
_atom_site_label
_atom_site_type_symbol
_atom_site_fract_x
_atom_site_fract_y
_atom_site_fract_z
Al1 Al 0.0000 0.0000 0.0000
Al2 Al 0.2500 0.2500 0.2500
Pb1 Pb 0.0000 0.0000 0.5000
Cl1 Cl 0.2500 0.2500 0.7500

Computed relative energies in units of meV/atom: a 0; b 133

a:
# AlPtCl2, optimized geometry, DFT GGA-PBEsol
# **Density of states at the Fermi level**: 0.4977 states/eV per atom
# **Crystal system**: orthorhombic
data_AlPtCl2
_cell_length_a 5.7506
_cell_length_b 6.9994
_cell_length_c 7.2406
_cell_angle_alpha 90.00
_cell_angle_beta 90.00
_cell_angle_gamma 90.00
_space_group_name_H-M_alt 'F m m m'
_space_group_IT_number 69
_space_group_name_Hall '-F 2 2'
loop_
_atom_site_label
_atom_site_type_symbol
_atom_site_fract_x
_atom_site_fract_y
_atom_site_fract_z
Al1 Al 0.0000 0.0000 0.0000
Pt1 Pt 0.0000 0.0000 0.5000
Cl1 Cl 0.0000 0.2500 0.2500

b:
# AlPtCl2, optimized geometry, DFT GGA-PBEsol
# **Density of states at the Fermi level**: 0.6523 states/eV per atom
# **Crystal system**: cubic
data_AlPtCl2
_cell_length_a 6.4630
_cell_length_b 6.4630
_cell_length_c 6.4630
_cell_angle_alpha 90.00
_cell_angle_beta 90.00
_cell_angle_gamma 90.00
_space_group_name_H-M_alt 'F m -3 m'
_space_group_IT_number 225
_space_group_name_Hall '-F 4 2 3'
loop_
_atom_site_label
_atom_site_type_symbol
_atom_site_fract_x
_atom_site_fract_y
_atom_site_fract_z
Al1 Al 0.0000 0.0000 0.0000
Pt1 Pt 0.0000 0.0000 0.5000
Cl1 Cl 0.2500 0.2500 0.2500

Computed relative energies in units of meV/atom: a 0; b 368

a:
# AlSb2Cl, optimized geometry, DFT GGA-PBEsol
# **Density of states at the Fermi level**: 0.4242 states/eV per atom
# **Crystal system**: tetragonal
data_AlSb2Cl
_cell_length_a 3.4625
_cell_length_b 3.4625
_cell_length_c 7.6375
_cell_angle_alpha 90.00
_cell_angle_beta 90.00
_cell_angle_gamma 90.00
_space_group_name_H-M_alt 'P 4/m m m'
_space_group_IT_number 123
_space_group_name_Hall '-P 4 2'
loop_
_atom_site_label
_atom_site_type_symbol
_atom_site_fract_x
_atom_site_fract_y
_atom_site_fract_z
Al1 Al 0.0000 0.0000 0.0000
Sb1 Sb 0.5000 0.5000 0.2113
Cl1 Cl 0.0000 0.0000 0.5000

b:
# AlSb2Cl, optimized geometry, DFT GGA-PBEsol
# **Density of states at the Fermi level**: 0.4920 states/eV per atom
# **Crystal system**: orthorhombic
data_AlSb2Cl
_cell_length_a 5.6669
_cell_length_b 5.9315
_cell_length_c 3.0430
_cell_angle_alpha 90.00
_cell_angle_beta 90.00
_cell_angle_gamma 90.00
_space_group_name_H-M_alt 'P m m 2'
_space_group_IT_number 25
_space_group_name_Hall 'P 2 -2'
loop_
_atom_site_label
_atom_site_type_symbol
_atom_site_fract_x
_atom_site_fract_y
_atom_site_fract_z
Al1 Al 0.0000 0.0000 0.0000
Sb1 Sb 0.5000 0.0000 0.0148
Sb2 Sb 0.5000 0.5000 0.0014
Cl1 Cl 0.0000 0.5000 0.0016

Computed relative energies in units of meV/atom: a 0; b 73

a:
# AlSe2Cl, optimized geometry, DFT GGA-PBEsol
# **Density of states at the Fermi level**: 0.6133 states/eV per atom
# **Crystal system**: orthorhombic
data_AlSe2Cl
_cell_length_a 5.0988
_cell_length_b 12.1938
_cell_length_c 2.7457
_cell_angle_alpha 90.00
_cell_angle_beta 90.00
_cell_angle_gamma 90.00
_space_group_name_H-M_alt 'C m m m'
_space_group_IT_number 65
_space_group_name_Hall '-C 2 2'
loop_
_atom_site_label
_atom_site_type_symbol
_atom_site_fract_x
_atom_site_fract_y
_atom_site_fract_z
Al1 Al 0.0000 0.0000 0.0000
Se1 Se 0.2500 0.2500 0.5000
Cl1 Cl 0.0000 0.5000 0.0000

b:
# AlSe2Cl, optimized geometry, DFT GGA-PBEsol
# **Density of states at the Fermi level**: 0.6521 states/eV per atom
# **Crystal system**: orthorhombic
data_AlSe2Cl
_cell_length_a 3.4242
_cell_length_b 4.8313
_cell_length_c 9.7427
_cell_angle_alpha 90.00
_cell_angle_beta 90.00
_cell_angle_gamma 90.00
_space_group_name_H-M_alt 'I m m m'
_space_group_IT_number 71
_space_group_name_Hall '-I 2 2'
loop_
_atom_site_label
_atom_site_type_symbol
_atom_site_fract_x
_atom_site_fract_y
_atom_site_fract_z
Al1 Al 0.0000 0.0000 0.0000
Se1 Se 0.0000 0.5000 0.3096
Cl1 Cl 0.0000 0.0000 0.5000

Computed relative energies in units of meV/atom: a 234; b 0